<one>
Below is an optimized crystal structure of Pr3NdPd, with properties calculated at the PBE-GGA level.

Summary:
- Spin magnetization: 0.0 μB per cell
- Symmetry: P2_1/c (14)

Cell and atoms, written as extended XYZ:
```
20
Lattice="-2.780 -0.183 -6.611 -1.264 -8.398 0.764 -8.841 4.990 3.580" Properties=species:S:1:pos:R:3 pbc="T T T"
Nd -9.125 -2.028 -0.146
Nd -6.897 1.017 2.724
Nd -5.989 -4.608 -4.991
Nd -3.760 -1.563 -2.120
Pr -1.518 -1.279 0.658
Pr -11.368 -2.311 -2.924
Pr -3.901 -7.276 -3.161
Pr -8.984 3.685 0.894
Pr -5.836 -2.025 0.747
Pr -7.050 -1.565 -3.013
Pr -11.340 0.938 -0.913
Pr -7.317 1.125 -0.830
Pr -3.967 1.230 0.524
Pr -5.568 -4.715 -1.436
Pr -8.919 -4.820 -2.790
Pr -1.545 -4.529 -1.354
Pd -7.249 -4.740 1.051
Pd -5.637 1.150 -3.318
Pd -2.698 -7.227 -0.429
Pd -10.188 3.636 -1.837
```

***

<two>
Below is an optimized crystal structure of Pr3NdPd, with properties calculated at the PBE-GGA level.

Summary:
- Spin magnetization: 0.0 μB per cell
- Symmetry: Cm (8)

Cell and atoms, written as extended XYZ:
```
10
Lattice="3.837 0.000 0.631 1.846 6.248 0.758 -0.193 -0.408 13.168" Properties=species:S:1:pos:R:3 pbc="T T T"
Pd 2.185 1.722 10.684
Pd 3.520 2.095 2.562
Nd 1.275 3.039 4.233
Nd 1.694 3.080 13.674
Pr 2.690 3.692 7.611
Pr 3.021 0.115 5.599
Pr 3.816 0.291 12.747
Pr 4.102 4.183 11.012
Pr 0.598 0.769 8.349
Pr 3.451 5.848 2.978
```

***

Which structure wins on stability? <two> wins.

***

<one>
Below is an optimized crystal structure of PrNdPdRh, with properties calculated at the PBE-GGA level.

Summary:
- Spin magnetization: 0.0 μB per cell
- Symmetry: Amm2 (38)

Cell and atoms, written as extended XYZ:
```
4
Lattice="3.904 0.000 0.000 0.000 4.518 0.000 -1.952 0.000 5.445" Properties=species:S:1:pos:R:3 pbc="T T T"
Pr 0.000 0.000 1.536
Pd 1.952 2.259 0.916
Nd 1.952 2.259 3.968
Rh 0.000 0.000 4.469
```

***

<two>
Below is an optimized crystal structure of PrNdPdRh, with properties calculated at the PBE-GGA level.

Summary:
- Spin magnetization: 0.0 μB per cell
- Symmetry: F-43m (216)

Cell and atoms, written as extended XYZ:
```
4
Lattice="-1.749 -1.800 -4.416 1.670 -4.461 -1.764 -3.093 -4.028 -0.054" Properties=species:S:1:pos:R:3 pbc="T T T"
Rh -2.379 -7.717 -4.675
Nd 0.000 0.000 0.000
Pr -1.586 -5.145 -3.117
Pd -0.793 -2.572 -1.558
```

***

Which structure wins on stability? <one> wins.